(1)
# TaGe6Mo5 (GGA-PBE, optimized geometry)
data_TaGe6Mo5
_chemical_formula_sum 'Ta1 Ge6 Mo5'
_cell_length_a 5.744
_cell_length_b 6.745
_cell_length_c 6.442
_cell_angle_alpha 58.43
_cell_angle_beta 81.66
_cell_angle_gamma 73.91
_symmetry_space_group_name_H-M 'P 1'
_symmetry_Int_Tables_number 1
loop_
_symmetry_equiv_pos_as_xyz
'x,y,z'
loop_
_atom_site_label
_atom_site_fract_x
_atom_site_fract_y
_atom_site_fract_z
_atom_site_occupancy
Ge1 0.183 0.303 0.000 1
Mo1 0.500 0.884 0.233 1
Mo2 0.000 0.704 0.592 1
Ta1 0.000 0.000 0.000 1
Ge2 0.817 0.697 0.000 1
Ge3 0.702 0.098 0.361 1
Mo3 0.500 0.116 0.767 1
Mo4 0.500 0.500 0.000 1
Ge4 0.298 0.541 0.361 1
Ge5 0.702 0.459 0.639 1
Mo5 0.000 0.296 0.408 1
Ge6 0.298 0.902 0.639 1
# Space-group type: No. 12
# Formation enthalpy at 0 K (meV/atom): 287.0
# Total DFT energy (no corrections) (Ry/atom): -0.553
# Magnetic moment (μB/f.u.): 0.00

(2)
# TaGeMo (GGA-PBE, optimized geometry)
data_TaGeMo
_chemical_formula_sum 'Ta4 Ge4 Mo4'
_cell_length_a 6.049
_cell_length_b 6.049
_cell_length_c 6.049
_cell_angle_alpha 90.00
_cell_angle_beta 90.00
_cell_angle_gamma 90.00
_symmetry_space_group_name_H-M 'P 1'
_symmetry_Int_Tables_number 1
loop_
_symmetry_equiv_pos_as_xyz
'x,y,z'
loop_
_atom_site_label
_atom_site_fract_x
_atom_site_fract_y
_atom_site_fract_z
_atom_site_occupancy
Ta1 0.370 0.130 0.870 1
Ta2 0.130 0.870 0.370 1
Mo1 0.621 0.879 0.121 1
Ge1 0.490 0.510 0.010 1
Mo2 0.879 0.121 0.621 1
Mo3 0.121 0.621 0.879 1
Ge2 0.010 0.490 0.510 1
Ta3 0.630 0.630 0.630 1
Mo4 0.379 0.379 0.379 1
Ge3 0.510 0.010 0.490 1
Ta4 0.870 0.370 0.130 1
Ge4 0.990 0.990 0.990 1
# Space-group type: No. 198
# Formation enthalpy at 0 K (meV/atom): 487.3
# Total DFT energy (no corrections) (Ry/atom): -0.633
# Magnetic moment (μB/f.u.): 0.00

(3)
# TaGeMo (GGA-PBE, optimized geometry)
data_TaGeMo
_chemical_formula_sum 'Ta1 Ge1 Mo1'
_cell_length_a 3.360
_cell_length_b 3.360
_cell_length_c 4.947
_cell_angle_alpha 109.85
_cell_angle_beta 109.85
_cell_angle_gamma 90.00
_symmetry_space_group_name_H-M 'P 1'
_symmetry_Int_Tables_number 1
loop_
_symmetry_equiv_pos_as_xyz
'x,y,z'
loop_
_atom_site_label
_atom_site_fract_x
_atom_site_fract_y
_atom_site_fract_z
_atom_site_occupancy
Ta1 0.950 0.950 0.899 1
Ge1 0.621 0.621 0.242 1
Mo1 0.280 0.280 0.559 1
# Space-group type: No. 107
# Formation enthalpy at 0 K (meV/atom): -103.4
# Total DFT energy (no corrections) (Ry/atom): -0.676
# Magnetic moment (μB/f.u.): 0.00

(4)
# TaGeMo2 (GGA-PBE, optimized geometry)
data_TaGeMo2
_chemical_formula_sum 'Ta2 Ge2 Mo4'
_cell_length_a 7.092
_cell_length_b 7.092
_cell_length_c 5.737
_cell_angle_alpha 51.82
_cell_angle_beta 51.82
_cell_angle_gamma 90.00
_symmetry_space_group_name_H-M 'P 1'
_symmetry_Int_Tables_number 1
loop_
_symmetry_equiv_pos_as_xyz
'x,y,z'
loop_
_atom_site_label
_atom_site_fract_x
_atom_site_fract_y
_atom_site_fract_z
_atom_site_occupancy
Ge1 0.250 0.750 0.500 1
Mo1 0.146 0.625 0.250 1
Ta1 0.000 0.000 0.000 1
Mo2 0.604 0.125 0.250 1
Ta2 0.750 0.250 0.500 1
Ge2 0.500 0.500 0.000 1
Mo3 0.875 0.854 0.750 1
Mo4 0.375 0.396 0.750 1
# Space-group type: No. 122
# Formation enthalpy at 0 K (meV/atom): 695.8
# Total DFT energy (no corrections) (Ry/atom): -0.650
# Magnetic moment (μB/f.u.): 0.00

(5)
# TaGeMo2 (GGA-PBE, optimized geometry)
data_TaGeMo2
_chemical_formula_sum 'Ta1 Ge1 Mo2'
_cell_length_a 3.345
_cell_length_b 3.345
_cell_length_c 5.800
_cell_angle_alpha 90.00
_cell_angle_beta 90.00
_cell_angle_gamma 90.00
_symmetry_space_group_name_H-M 'P 1'
_symmetry_Int_Tables_number 1
loop_
_symmetry_equiv_pos_as_xyz
'x,y,z'
loop_
_atom_site_label
_atom_site_fract_x
_atom_site_fract_y
_atom_site_fract_z
_atom_site_occupancy
Ge1 0.500 0.500 0.500 1
Ta1 0.500 0.500 0.000 1
Mo1 0.000 0.000 0.266 1
Mo2 0.000 0.000 0.734 1
# Space-group type: No. 123
# Formation enthalpy at 0 K (meV/atom): -74.8
# Total DFT energy (no corrections) (Ry/atom): -0.706
# Magnetic moment (μB/f.u.): 0.00

(6)
# Ta6GeMo5 (GGA-PBE, optimized geometry)
data_Ta6GeMo5
_chemical_formula_sum 'Ta6 Ge1 Mo5'
_cell_length_a 4.564
_cell_length_b 6.499
_cell_length_c 7.912
_cell_angle_alpha 114.25
_cell_angle_beta 106.76
_cell_angle_gamma 90.00
_symmetry_space_group_name_H-M 'P 1'
_symmetry_Int_Tables_number 1
loop_
_symmetry_equiv_pos_as_xyz
'x,y,z'
loop_
_atom_site_label
_atom_site_fract_x
_atom_site_fract_y
_atom_site_fract_z
_atom_site_occupancy
Mo1 0.339 0.839 0.678 1
Mo2 0.668 0.668 0.337 1
Mo3 0.332 0.332 0.663 1
Ta1 0.169 0.421 0.337 1
Ge1 0.000 0.000 0.000 1
Ta2 0.500 0.741 0.000 1
Ta3 0.831 0.579 0.663 1
Ta4 0.500 0.259 0.000 1
Ta5 0.831 0.084 0.663 1
Mo4 0.661 0.161 0.322 1
Mo5 0.000 0.500 0.000 1
Ta6 0.169 0.916 0.337 1
# Space-group type: No. 71
# Formation enthalpy at 0 K (meV/atom): -180.8
# Total DFT energy (no corrections) (Ry/atom): -0.809
# Magnetic moment (μB/f.u.): 0.00

(7)
# Ta4Ge3Mo (GGA-PBE, optimized geometry)
data_Ta4Ge3Mo
_chemical_formula_sum 'Ta8 Ge6 Mo2'
_cell_length_a 5.137
_cell_length_b 7.604
_cell_length_c 7.604
_cell_angle_alpha 83.45
_cell_angle_beta 70.26
_cell_angle_gamma 70.26
_symmetry_space_group_name_H-M 'P 1'
_symmetry_Int_Tables_number 1
loop_
_symmetry_equiv_pos_as_xyz
'x,y,z'
loop_
_atom_site_label
_atom_site_fract_x
_atom_site_fract_y
_atom_site_fract_z
_atom_site_occupancy
Ta1 0.575 0.700 0.150 1
Ge1 0.666 0.168 0.500 1
Ge2 0.250 0.000 0.000 1
Ta2 0.775 0.300 0.150 1
Ge3 0.750 0.000 0.000 1
Ta3 0.275 0.150 0.300 1
Ge4 0.166 0.500 0.168 1
Ta4 0.075 0.150 0.700 1
Ta5 0.725 0.850 0.700 1
Mo1 0.750 0.500 0.500 1
Mo2 0.250 0.500 0.500 1
Ta6 0.925 0.850 0.300 1
Ge5 0.834 0.500 0.832 1
Ta7 0.225 0.700 0.850 1
Ta8 0.425 0.300 0.850 1
Ge6 0.334 0.832 0.500 1
# Space-group type: No. 140
# Formation enthalpy at 0 K (meV/atom): -323.2
# Total DFT energy (no corrections) (Ry/atom): -0.686
# Magnetic moment (μB/f.u.): 0.00

(8)
# TaGe2Mo (GGA-PBE, optimized geometry)
data_TaGe2Mo
_chemical_formula_sum 'Ta1 Ge2 Mo1'
_cell_length_a 4.490
_cell_length_b 4.490
_cell_length_c 4.490
_cell_angle_alpha 60.00
_cell_angle_beta 60.00
_cell_angle_gamma 60.00
_symmetry_space_group_name_H-M 'P 1'
_symmetry_Int_Tables_number 1
loop_
_symmetry_equiv_pos_as_xyz
'x,y,z'
loop_
_atom_site_label
_atom_site_fract_x
_atom_site_fract_y
_atom_site_fract_z
_atom_site_occupancy
Ta1 0.500 0.500 0.500 1
Ge1 0.750 0.750 0.750 1
Ge2 0.250 0.250 0.250 1
Mo1 0.000 0.000 0.000 1
# Relative energy among the computed polymorphs (meV/atom): 0.0
# Space-group type: No. 225
# Formation enthalpy at 0 K (meV/atom): 52.1
# Total DFT energy (no corrections) (Ry/atom): -0.583
# Magnetic moment (μB/f.u.): 0.00

(9)
# TaTcGeMo2 (GGA-PBE, optimized geometry)
data_TaTcGeMo2
_chemical_formula_sum 'Ta1 Tc1 Ge1 Mo2'
_cell_length_a 4.703
_cell_length_b 4.811
_cell_length_c 4.703
_cell_angle_alpha 90.00
_cell_angle_beta 90.00
_cell_angle_gamma 90.00
_symmetry_space_group_name_H-M 'P 1'
_symmetry_Int_Tables_number 1
loop_
_symmetry_equiv_pos_as_xyz
'x,y,z'
loop_
_atom_site_label
_atom_site_fract_x
_atom_site_fract_y
_atom_site_fract_z
_atom_site_occupancy
Tc1 0.000 0.000 0.000 1
Ge1 0.500 0.500 0.500 1
Mo1 0.500 0.000 0.000 1
Mo2 0.000 0.000 0.500 1
Ta1 0.000 0.500 0.000 1
# Space-group type: No. 123
# Formation enthalpy at 0 K (meV/atom): 1446.1
# Total DFT energy (no corrections) (Ry/atom): -0.607
# Magnetic moment (μB/f.u.): 1.08

(10)
# Ta2GeTeMo (GGA-PBE, optimized geometry)
data_Ta2GeTeMo
_chemical_formula_sum 'Ta2 Ge1 Te1 Mo1'
_cell_length_a 5.017
_cell_length_b 4.876
_cell_length_c 5.017
_cell_angle_alpha 90.00
_cell_angle_beta 90.00
_cell_angle_gamma 90.00
_symmetry_space_group_name_H-M 'P 1'
_symmetry_Int_Tables_number 1
loop_
_symmetry_equiv_pos_as_xyz
'x,y,z'
loop_
_atom_site_label
_atom_site_fract_x
_atom_site_fract_y
_atom_site_fract_z
_atom_site_occupancy
Ge1 0.500 0.500 0.500 1
Mo1 0.000 0.500 0.000 1
Ta1 0.000 0.000 0.500 1
Te1 0.000 0.000 0.000 1
Ta2 0.500 0.000 0.000 1
# Space-group type: No. 123
# Raw formation energy (kJ/mol of atoms): 182.1
# Total DFT energy (no corrections) (Ry/atom): -0.483
# Magnetic moment (μB/f.u.): 0.00

(11)
# ThTaGe2Mo (GGA-PBE, optimized geometry)
data_ThTaGe2Mo
_chemical_formula_sum 'Th1 Ta1 Ge2 Mo1'
_cell_length_a 4.086
_cell_length_b 4.086
_cell_length_c 6.629
_cell_angle_alpha 107.95
_cell_angle_beta 107.95
_cell_angle_gamma 90.00
_symmetry_space_group_name_H-M 'P 1'
_symmetry_Int_Tables_number 1
loop_
_symmetry_equiv_pos_as_xyz
'x,y,z'
loop_
_atom_site_label
_atom_site_fract_x
_atom_site_fract_y
_atom_site_fract_z
_atom_site_occupancy
Ta1 0.250 0.750 0.500 1
Th1 0.000 0.000 0.000 1
Mo1 0.750 0.250 0.500 1
Ge1 0.391 0.391 0.782 1
Ge2 0.609 0.609 0.218 1
# Space-group type: No. 119
# Formation enthalpy at 0 K (meV/atom): -434.5
# Total DFT energy (no corrections) (Ry/atom): -0.610
# Magnetic moment (μB/f.u.): 0.00

(12)
# TaZnGe2Mo (GGA-PBE, optimized geometry)
data_TaZnGe2Mo
_chemical_formula_sum 'Ta1 Zn1 Ge2 Mo1'
_cell_length_a 4.722
_cell_length_b 4.764
_cell_length_c 4.722
_cell_angle_alpha 90.00
_cell_angle_beta 90.00
_cell_angle_gamma 90.00
_symmetry_space_group_name_H-M 'P 1'
_symmetry_Int_Tables_number 1
loop_
_symmetry_equiv_pos_as_xyz
'x,y,z'
loop_
_atom_site_label
_atom_site_fract_x
_atom_site_fract_y
_atom_site_fract_z
_atom_site_occupancy
Ge1 0.000 0.000 0.500 1
Mo1 0.000 0.000 0.000 1
Zn1 0.000 0.500 0.000 1
Ge2 0.500 0.000 0.000 1
Ta1 0.500 0.500 0.500 1
# Space-group type: No. 123
# Formation enthalpy at 0 K (meV/atom): 1246.6
# Total DFT energy (no corrections) (Ry/atom): -0.396
# Magnetic moment (μB/f.u.): 0.00

(13)
# Tb3Ge4Mo2 (GGA-PBE, optimized geometry)
data_Tb3Ge4Mo2
_chemical_formula_sum 'Tb3 Ge4 Mo2'
_cell_length_a 4.231
_cell_length_b 6.550
_cell_length_c 8.435
_cell_angle_alpha 117.28
_cell_angle_beta 90.00
_cell_angle_gamma 108.84
_symmetry_space_group_name_H-M 'P 1'
_symmetry_Int_Tables_number 1
loop_
_symmetry_equiv_pos_as_xyz
'x,y,z'
loop_
_atom_site_label
_atom_site_fract_x
_atom_site_fract_y
_atom_site_fract_z
_atom_site_occupancy
Ge1 0.319 0.639 0.903 1
Mo1 0.692 0.384 0.397 1
Ge2 0.935 0.870 0.595 1
Mo2 0.308 0.616 0.603 1
Tb1 0.367 0.733 0.271 1
Tb2 0.000 0.000 0.000 1
Ge3 0.681 0.361 0.097 1
Ge4 0.065 0.130 0.405 1
Tb3 0.633 0.267 0.729 1
# Space-group type: No. 12
# Formation enthalpy at 0 K (meV/atom): -555.1
# Total DFT energy (no corrections) (Ry/atom): -0.482
# Magnetic moment (μB/f.u.): 0.00